# GGA-PBE LaTl3Fe, optimized geometry
# VASP energy	-12.50	eV/cell
# total magnetization	0.055	μB/atom
# formation energy from the elements	1.5971	eV/atom
data_LaTl3Fe
_chemical_formula_sum 'La1 Tl3 Fe1'
_space_group_name_H-M_alt 'P m -3 m'
_space_group_IT_number 221
_space_group_name_Hall '-P 4 2 3'
_cell_length_a 6.0526
_cell_length_b 6.0526
_cell_length_c 6.0526
_cell_angle_alpha 90.00
_cell_angle_beta 90.00
_cell_angle_gamma 90.00
loop_
_atom_site_label
_atom_site_fract_x
_atom_site_fract_y
_atom_site_fract_z
La1 0.0000 0.0000 0.0000
Tl1 0.0000 0.0000 0.5000
Fe1 0.5000 0.5000 0.5000